A plane-wave DFT calculation with PBE was carried out for Li3Cd5F12 after structural relaxation.

abc: 11.6036 11.6036 11.6036
angles: 109.47 109.47 109.47
Fractional coordinates of all 80 atoms:
Li: 0.1250 0.2500 0.3750
Li: 0.1250 0.3750 0.7500
Li: 0.2500 0.3750 0.1250
Li: 0.2500 0.8750 0.6250
Li: 0.3750 0.1250 0.2500
Li: 0.3750 0.7500 0.1250
Li: 0.6250 0.2500 0.8750
Li: 0.6250 0.8750 0.7500
Li: 0.7500 0.1250 0.3750
Li: 0.7500 0.6250 0.8750
Li: 0.8750 0.6250 0.2500
Li: 0.8750 0.7500 0.6250
Cd: 0.0000 0.0000 0.0000
Cd: 0.0000 0.0000 0.5000
Cd: 0.0000 0.5000 0.0000
Cd: 0.0000 0.5000 0.5000
Cd: 0.1250 0.7500 0.8750
Cd: 0.1250 0.8750 0.2500
Cd: 0.2500 0.1250 0.8750
Cd: 0.2500 0.6250 0.3750
Cd: 0.3750 0.2500 0.6250
Cd: 0.3750 0.6250 0.7500
Cd: 0.5000 0.0000 0.0000
Cd: 0.5000 0.0000 0.5000
Cd: 0.5000 0.5000 0.0000
Cd: 0.5000 0.5000 0.5000
Cd: 0.6250 0.3750 0.2500
Cd: 0.6250 0.7500 0.3750
Cd: 0.7500 0.3750 0.6250
Cd: 0.7500 0.8750 0.1250
Cd: 0.8750 0.1250 0.7500
Cd: 0.8750 0.2500 0.1250
F: 0.0532 0.2278 0.1221
F: 0.0532 0.3254 0.9310
F: 0.0690 0.6221 0.3943
F: 0.0690 0.9468 0.6746
F: 0.1057 0.7278 0.6746
F: 0.1057 0.8779 0.4310
F: 0.1221 0.0532 0.2278
F: 0.1221 0.5690 0.8943
F: 0.1746 0.2278 0.6057
F: 0.1746 0.4468 0.5690
F: 0.2278 0.1221 0.0532
F: 0.2278 0.6057 0.1746
F: 0.2722 0.3254 0.8943
F: 0.2722 0.4468 0.3779
F: 0.3254 0.8943 0.2722
F: 0.3254 0.9310 0.0532
F: 0.3779 0.2722 0.4468
F: 0.3779 0.6057 0.9310
F: 0.3943 0.0690 0.6221
F: 0.3943 0.8254 0.7722
F: 0.4310 0.1057 0.8779
F: 0.4310 0.8254 0.5532
F: 0.4468 0.3779 0.2722
F: 0.4468 0.5690 0.1746
F: 0.5532 0.4310 0.8254
F: 0.5532 0.6221 0.7278
F: 0.5690 0.1746 0.4468
F: 0.5690 0.8943 0.1221
F: 0.6057 0.1746 0.2278
F: 0.6057 0.9310 0.3779
F: 0.6221 0.3943 0.0690
F: 0.6221 0.7278 0.5532
F: 0.6746 0.0690 0.9468
F: 0.6746 0.1057 0.7278
F: 0.7278 0.5532 0.6221
F: 0.7278 0.6746 0.1057
F: 0.7722 0.3943 0.8254
F: 0.7722 0.8779 0.9468
F: 0.8254 0.5532 0.4310
F: 0.8254 0.7722 0.3943
F: 0.8779 0.4310 0.1057
F: 0.8779 0.9468 0.7722
F: 0.8943 0.1221 0.5690
F: 0.8943 0.2722 0.3254
F: 0.9310 0.0532 0.3254
F: 0.9310 0.3779 0.6057
F: 0.9468 0.6746 0.0690
F: 0.9468 0.7722 0.8779

Computed properties:
Symmetry   Ia-3d

---

A plane-wave DFT calculation with PBE was carried out for LiCdF2 after structural relaxation.

abc: 6.8293 6.8293 6.8293
angles: 26.23 26.23 26.23
Fractional coordinates of all 4 atoms:
Li: 0.0000 0.0000 0.0000
Cd: 0.5000 0.5000 0.5000
F: 0.3881 0.3881 0.3881
F: 0.6119 0.6119 0.6119

Computed properties:
Symmetry   R-3m

---

A plane-wave DFT calculation with PBE was carried out for LiCd3F after structural relaxation.

abc: 4.9920 4.9920 4.9920
angles: 90.00 90.00 90.00
Fractional coordinates of all 5 atoms:
Li: 0.0000 0.0000 0.0000
Cd: 0.0000 0.0000 0.5000
Cd: 0.0000 0.5000 0.0000
Cd: 0.5000 0.0000 0.0000
F: 0.5000 0.5000 0.5000

Computed properties:
Symmetry   Pm-3m

---

A plane-wave DFT calculation with PBE was carried out for Li4Cd2F9 after structural relaxation.

abc: 5.3122 5.3122 14.4872
angles: 90.00 90.00 120.00
Fractional coordinates of all 30 atoms:
Li: 0.3333 0.6667 0.1847
Li: 0.3333 0.6667 0.4866
Li: 0.3333 0.6667 0.6847
Li: 0.3333 0.6667 0.9866
Li: 0.6667 0.3333 0.0134
Li: 0.6667 0.3333 0.3153
Li: 0.6667 0.3333 0.5134
Li: 0.6667 0.3333 0.8153
Cd: 0.0000 0.0000 0.1400
Cd: 0.0000 0.0000 0.3600
Cd: 0.0000 0.0000 0.6400
Cd: 0.0000 0.0000 0.8600
F: 0.0000 0.3160 0.2500
F: 0.0000 0.6840 0.7500
F: 0.0239 0.3861 0.5807
F: 0.0239 0.6378 0.0807
F: 0.3160 0.0000 0.2500
F: 0.3160 0.3160 0.7500
F: 0.3622 0.3861 0.0807
F: 0.3622 0.9761 0.5807
F: 0.3861 0.0239 0.9193
F: 0.3861 0.3622 0.4193
F: 0.6139 0.6378 0.5807
F: 0.6139 0.9761 0.0807
F: 0.6378 0.0239 0.4193
F: 0.6378 0.6139 0.9193
F: 0.6840 0.0000 0.7500
F: 0.6840 0.6840 0.2500
F: 0.9761 0.3622 0.9193
F: 0.9761 0.6139 0.4193

Computed properties:
Symmetry   P-3c1

---

A plane-wave DFT calculation with PBE was carried out for LiCdF2 after structural relaxation.

abc: 5.7608 5.7608 5.7608
angles: 126.30 126.30 79.39
Fractional coordinates of all 8 atoms:
Li: 0.0000 0.0000 0.0000
Li: 0.7500 0.2500 0.5000
Cd: 0.2500 0.7500 0.5000
Cd: 0.5000 0.5000 0.0000
F: 0.0410 0.6250 0.9160
F: 0.3750 0.2910 0.4160
F: 0.7090 0.1250 0.0840
F: 0.8750 0.9590 0.5840

Computed properties:
Symmetry   I-42d

---

A plane-wave DFT calculation with PBE was carried out for LiCdF2 after structural relaxation.

abc: 6.7390 3.9227 8.2977
angles: 90.00 90.00 90.00
Fractional coordinates of all 16 atoms:
Li: 0.0263 0.2500 0.1216
Li: 0.4737 0.7500 0.6216
Li: 0.5263 0.2500 0.3784
Li: 0.9737 0.7500 0.8784
Cd: 0.0936 0.2500 0.6030
Cd: 0.4064 0.7500 0.1030
Cd: 0.5936 0.2500 0.8970
Cd: 0.9064 0.7500 0.3970
F: 0.0493 0.7500 0.1100
F: 0.2070 0.7500 0.7400
F: 0.2930 0.2500 0.2400
F: 0.4507 0.2500 0.6100
F: 0.5493 0.7500 0.3900
F: 0.7070 0.7500 0.7600
F: 0.7930 0.2500 0.2600
F: 0.9507 0.2500 0.8900

Computed properties:
Symmetry   Pnma

---

A plane-wave DFT calculation with PBE was carried out for LiCdF2 after structural relaxation.

abc: 4.2424 4.2424 4.2424
angles: 60.00 60.00 60.00
Fractional coordinates of all 4 atoms:
Li: 0.0000 0.0000 0.0000
Cd: 0.5000 0.5000 0.5000
F: 0.2500 0.2500 0.2500
F: 0.7500 0.7500 0.7500

Computed properties:
Symmetry   Fm-3m

---

A plane-wave DFT calculation with PBE was carried out for LiCdF after structural relaxation.

abc: 3.0519 3.0522 11.9417
angles: 82.96 82.86 60.01
Fractional coordinates of all 6 atoms:
Li: 0.0000 0.0000 0.0000
Li: 0.4045 0.4010 0.7868
Cd: 0.5791 0.5848 0.2698
Cd: 0.8317 0.8401 0.5184
F: 0.0577 0.0545 0.8278
F: 0.6536 0.6540 0.0402

Computed properties:
Symmetry   P1

---

Taking the records one at a time from the top gives total moment values of 0.00; 0.00; 0.00; 2.32; 0.00; 0.00; 0.00; 0.00 μB/cell.
Taking the records one at a time from the top gives formation energy without anion corrections values of -2144.6; -2070.0; -199.2; -2397.9; -2085.9; -2211.1; -1721.0; -1842.9 meV per atom.